Below is crystalline Rb4TbTh3Te8 at its relaxed geometry, with properties calculated at the PBE-GGA level.

Cell and atoms, written as extended XYZ:
```
16
Lattice="4.508 2.603 8.753 -4.508 2.603 8.753 0.000 -5.205 8.753" Properties=species:S:1:pos:R:3 pbc="T T T"
Rb 0.000 0.000 0.000
Rb -2.254 -1.301 8.753
Rb -2.254 1.301 17.505
Rb 0.000 2.603 8.753
Tb 0.000 0.000 13.129
Th -4.508 0.000 13.129
Th -2.254 1.301 4.376
Th 2.254 1.301 4.376
Te 0.000 0.000 6.231
Te -2.224 -1.284 14.943
Te 0.000 -2.568 11.315
Te -2.224 1.284 11.315
Te 2.224 -1.284 14.943
Te 0.000 2.568 14.943
Te 2.224 1.284 11.315
Te 0.000 0.000 20.027
```

Calculated values
Uncorrected energy, eV/atom: -4.7072
Raw formation energy, meV/atom: -1214
SG: R-3m (166)